Run i
{"formula": "CsHg2I2", "functional": "PBE-GGA", "state": "relaxed", "lattice_angstrom": [[9.7769, 0.0000, 0.0000], [0.0000, 9.7769, 0.0000], [0.0000, 0.0000, 4.5664]], "species": ["Cs", "Cs", "Hg", "Hg", "Hg", "Hg", "I", "I", "I", "I"], "frac_coords": [[0.0000, 0.0000, 0.0000], [0.5000, 0.5000, 0.0000], [0.1318, 0.3682, 0.5000], [0.3682, 0.8682, 0.5000], [0.6318, 0.1318, 0.5000], [0.8682, 0.6318, 0.5000], [0.1577, 0.6577, 0.0000], [0.3423, 0.1577, 0.0000], [0.6577, 0.8423, 0.0000], [0.8423, 0.3423, 0.0000]]}

Run ii
{"formula": "CsHg2I2", "functional": "PBE-GGA", "state": "relaxed", "lattice_angstrom": [[9.6689, 0.0000, 0.0000], [0.0000, 9.6689, 0.0000], [0.0000, 0.0000, 4.4851]], "species": ["Cs", "Cs", "Hg", "Hg", "Hg", "Hg", "I", "I", "I", "I"], "frac_coords": [[0.0000, 0.0000, 0.0000], [0.5000, 0.5000, 0.0000], [0.1037, 0.3963, 0.0000], [0.3963, 0.8963, 0.0000], [0.6037, 0.1037, 0.0000], [0.8963, 0.6037, 0.0000], [0.2201, 0.7201, 0.5000], [0.2799, 0.2201, 0.5000], [0.7201, 0.7799, 0.5000], [0.7799, 0.2799, 0.5000]]}

Run iii
{"formula": "CsHg2I2", "functional": "PBE-GGA", "state": "relaxed", "lattice_angstrom": [[-3.1570, 3.1570, 5.3604], [3.1570, -3.1570, 5.3604], [3.1570, 3.1570, -5.3604]], "species": ["Cs", "Hg", "Hg", "I", "I"], "frac_coords": [[0.0000, 0.0000, 0.0000], [0.3668, 0.3668, 0.0000], [0.6332, 0.6332, 0.0000], [0.2500, 0.7500, 0.5000], [0.7500, 0.2500, 0.5000]]}

Short version: run iii, run ii, run i, most stable first.

Run i
{"formula": "Cs3HgI3", "functional": "PBE-GGA", "state": "relaxed", "lattice_angstrom": [[5.7652, 3.3285, 7.7824], [-5.7652, 3.3285, 7.7824], [0.0000, -6.6571, 7.7824]], "species": ["Cs", "Cs", "Cs", "Cs", "Cs", "Cs", "Hg", "Hg", "I", "I", "I", "I", "I", "I"], "frac_coords": [[0.0840, 0.4160, 0.7490], [0.2510, 0.9160, 0.5840], [0.4160, 0.7490, 0.0840], [0.5840, 0.2510, 0.9160], [0.7490, 0.0840, 0.4160], [0.9160, 0.5840, 0.2510], [0.1658, 0.1658, 0.1658], [0.8342, 0.8342, 0.8342], [0.0824, 0.7512, 0.4174], [0.2488, 0.5826, 0.9176], [0.4174, 0.0824, 0.7512], [0.5826, 0.9176, 0.2488], [0.7512, 0.4174, 0.0824], [0.9176, 0.2488, 0.5826]]}

Run ii
{"formula": "Cs3HgI3", "functional": "PBE-GGA", "state": "relaxed", "lattice_angstrom": [[10.6563, 0.0000, 0.0000], [0.0000, 10.6563, 0.0000], [0.0000, 0.0000, 10.6563]], "species": ["Cs", "Cs", "Cs", "Cs", "Cs", "Cs", "Hg", "Hg", "I", "I", "I", "I", "I", "I"], "frac_coords": [[0.0000, 0.2500, 0.5000], [0.0000, 0.7500, 0.5000], [0.2500, 0.5000, 0.0000], [0.5000, 0.0000, 0.2500], [0.5000, 0.0000, 0.7500], [0.7500, 0.5000, 0.0000], [0.0000, 0.0000, 0.0000], [0.5000, 0.5000, 0.5000], [0.0000, 0.5000, 0.2500], [0.0000, 0.5000, 0.7500], [0.2500, 0.0000, 0.5000], [0.5000, 0.2500, 0.0000], [0.5000, 0.7500, 0.0000], [0.7500, 0.0000, 0.5000]]}

Short version: run i, run ii, most stable first.

Run i
{"formula": "CsHg2I", "functional": "PBE-GGA", "state": "relaxed", "lattice_angstrom": [[5.3351, 0.0000, 0.0000], [0.0000, 5.3351, 0.0000], [0.0000, 0.0000, 6.5965]], "species": ["Cs", "Hg", "Hg", "I"], "frac_coords": [[0.0000, 0.0000, 0.0000], [0.0000, 0.5000, 0.5000], [0.5000, 0.0000, 0.5000], [0.5000, 0.5000, 0.0000]]}

Run ii
{"formula": "CsHg2I", "functional": "PBE-GGA", "state": "relaxed", "lattice_angstrom": [[5.4986, 0.0000, 0.0000], [0.0000, 5.3406, 0.0000], [-2.6271, 0.0000, 12.6888]], "species": ["Cs", "Cs", "Hg", "Hg", "Hg", "Hg", "I", "I"], "frac_coords": [[0.1773, 0.2500, 0.3496], [0.8227, 0.7500, 0.6504], [0.0208, 0.7500, 0.0877], [0.4435, 0.7500, 0.9154], [0.5565, 0.2500, 0.0846], [0.9792, 0.2500, 0.9123], [0.3260, 0.2500, 0.6560], [0.6740, 0.7500, 0.3440]]}

Short version: run ii, run i, most stable first.

Run i
{"formula": "CsHg2I", "functional": "PBE-GGA", "state": "relaxed", "lattice_angstrom": [[0.0000, 4.4620, 4.4620], [4.4620, 0.0000, 4.4620], [4.4620, 4.4620, 0.0000]], "species": ["Cs", "Hg", "Hg", "I"], "frac_coords": [[0.0000, 0.0000, 0.0000], [0.2500, 0.2500, 0.2500], [0.7500, 0.7500, 0.7500], [0.5000, 0.5000, 0.5000]]}

Run ii
{"formula": "CsHg2I", "functional": "PBE-GGA", "state": "relaxed", "lattice_angstrom": [[-5.2221, 5.2221, 3.6731], [5.2221, -5.2221, 3.6731], [5.2221, 5.2221, -3.6731]], "species": ["Cs", "Cs", "Hg", "Hg", "Hg", "Hg", "I", "I"], "frac_coords": [[0.0000, 0.0000, 0.0000], [0.7500, 0.2500, 0.5000], [0.1453, 0.1250, 0.5203], [0.3750, 0.8547, 0.9797], [0.6047, 0.6250, 0.4797], [0.8750, 0.3953, 0.0203], [0.2500, 0.7500, 0.5000], [0.5000, 0.5000, 0.0000]]}

Short version: run i, run ii, most stable first.